A relaxed TaTi4Ga2 crystal. Source: Alexandria via LeMat-Bulk, functional PBE-GGA.

Lattice parameters (Å, degrees): 5.0807 5.0807 9.6510 90.00 90.00 90.00
Closest atoms and distances in Å follow each position.
Space group I4/mmm (No. 139)
Symmetry-distinct sites (fractional):
Ta: 0.0000 0.0000 0.0000 x2  4 Ti 2.54
Ti: 0.0000 0.5000 0.0000 x4  2 Ti 2.41, 2 Ta 2.54
Ti: 0.0000 0.5000 0.2500 x4  2 Ti 2.41
Ga: 0.0000 0.0000 0.3546 x4  8 Ti 2.73-2.90, 1 Ga 2.81

Results
Offset from the most stable computed form in eV per atom: 0.000
Fermi-level density of states in states/eV/cell: 13.76
ΔE_f in meV per atom: 322